[1]
Entry from the Alexandria database: a geometry-optimized Nd2SmGd structure (PBE).

Results
Electronic total energy (eV/cell): -28.29
Space group: No. 123
ΔH_f (0 K) (eV/atom): 0.011
DOS at the Fermi energy (states/eV per cell): 6.6

a b c (Å): 5.155 5.155 5.147
angles (deg): 90.00 90.00 90.00
Sites, in units of the cell vectors:
Nd 0.000 0.500 0.000
Nd 0.500 0.000 0.000
Sm 0.000 0.000 0.500
Gd 0.500 0.500 0.500

***

[2]
Entry from the Alexandria database: a geometry-optimized Nd4SmGd structure (PBE).

Results
Electronic total energy (eV/cell): -36.41
Space group: No. 216
ΔH_f (0 K) (eV/atom): 0.243
DOS at the Fermi energy (states/eV per cell): 12.0

a b c (Å): 6.730 6.730 6.730
angles (deg): 60.00 60.00 60.00
Sites, in units of the cell vectors:
Nd 0.125 0.125 0.125
Nd 0.125 0.125 0.626
Nd 0.125 0.626 0.125
Nd 0.626 0.125 0.125
Sm 0.750 0.750 0.750
Gd 0.500 0.500 0.500

***

[3]
Entry from the Alexandria database: a geometry-optimized NdSmGdSn structure (PBE).

Results
Electronic total energy (eV/cell): -28.74
Space group: No. 216
ΔH_f (0 K) (eV/atom): -0.293
DOS at the Fermi energy (states/eV per cell): 5.6

a b c (Å): 5.515 5.515 5.515
angles (deg): 60.00 60.00 60.00
Sites, in units of the cell vectors:
Nd 0.000 0.000 0.000
Sm 0.500 0.500 0.500
Gd 0.750 0.750 0.750
Sn 0.250 0.250 0.250

***

[4]
Entry from the Alexandria database: a geometry-optimized NdSmGdTh structure (PBE).

Results
Electronic total energy (eV/cell): -30.33
Space group: No. 216
ΔH_f (0 K) (eV/atom): 0.164
DOS at the Fermi energy (states/eV per cell): 9.3

a b c (Å): 5.739 5.739 5.739
angles (deg): 60.00 60.00 60.00
Sites, in units of the cell vectors:
Nd 0.000 0.000 0.000
Sm 0.250 0.250 0.250
Gd 0.750 0.750 0.750
Th 0.500 0.500 0.500

***

[5]
Entry from the Alexandria database: a geometry-optimized NdSmGdTl structure (PBE).

Results
Electronic total energy (eV/cell): -26.29
Space group: No. 216
ΔH_f (0 K) (eV/atom): -0.090
DOS at the Fermi energy (states/eV per cell): 5.9

a b c (Å): 5.563 5.563 5.563
angles (deg): 60.00 60.00 60.00
Sites, in units of the cell vectors:
Nd 0.000 0.000 0.000
Sm 0.500 0.500 0.500
Gd 0.250 0.250 0.250
Tl 0.750 0.750 0.750

***

[6]
Entry from the Alexandria database: a geometry-optimized NdSmGdTm structure (PBE).

Results
Electronic total energy (eV/cell): -27.60
Space group: No. 216
ΔH_f (0 K) (eV/atom): 0.111
DOS at the Fermi energy (states/eV per cell): 8.3

a b c (Å): 5.724 5.724 5.724
angles (deg): 60.00 60.00 60.00
Sites, in units of the cell vectors:
Nd 0.000 0.000 0.000
Sm 0.500 0.500 0.500
Gd 0.750 0.750 0.750
Tm 0.250 0.250 0.250

***

[7]
Entry from the Alexandria database: a geometry-optimized NdSmGdZn structure (PBE).

Results
Electronic total energy (eV/cell): -24.72
Space group: No. 216
ΔH_f (0 K) (eV/atom): 0.030
DOS at the Fermi energy (states/eV per cell): 6.1

a b c (Å): 5.431 5.431 5.431
angles (deg): 60.00 60.00 60.00
Sites, in units of the cell vectors:
Nd 0.000 0.000 0.000
Sm 0.500 0.500 0.500
Gd 0.250 0.250 0.250
Zn 0.750 0.750 0.750

***

[8]
Entry from the Alexandria database: a geometry-optimized Nd2GdSn structure (PBE).

Results
Electronic total energy (eV/cell): -29.43
Space group: No. 123
ΔH_f (0 K) (eV/atom): -0.453
DOS at the Fermi energy (states/eV per cell): 3.7

a b c (Å): 4.937 4.937 4.898
angles (deg): 90.00 90.00 90.00
Sites, in units of the cell vectors:
Nd 0.000 0.500 0.000
Nd 0.500 0.000 0.000
Gd 0.000 0.000 0.500
Sn 0.500 0.500 0.500

***

[9]
Entry from the Alexandria database: a geometry-optimized Nd2GdSn structure (PBE).

Results
Electronic total energy (eV/cell): -28.81
Space group: No. 225
ΔH_f (0 K) (eV/atom): -0.298
DOS at the Fermi energy (states/eV per cell): 5.6

a b c (Å): 5.541 5.541 5.541
angles (deg): 60.00 60.00 60.00
Sites, in units of the cell vectors:
Nd 0.250 0.250 0.250
Nd 0.750 0.750 0.750
Gd 0.000 0.000 0.000
Sn 0.500 0.500 0.500

***

[10]
Entry from the Alexandria database: a geometry-optimized Nd2GdSn structure (PBE).

Results
Electronic total energy (eV/cell): -27.74
Space group: No. 166
ΔH_f (0 K) (eV/atom): -0.030
DOS at the Fermi energy (states/eV per cell): 6.1

a b c (Å): 12.203 12.203 12.203
angles (deg): 16.63 16.63 16.63
Sites, in units of the cell vectors:
Nd 0.093 0.093 0.093
Nd 0.907 0.907 0.907
Gd 0.000 0.000 0.000
Sn 0.500 0.500 0.500

***

[11]
Entry from the Alexandria database: a geometry-optimized NdGdSn structure (PBE).

Results
Electronic total energy (eV/cell): -24.16
Space group: No. 216
ΔH_f (0 K) (eV/atom): -0.435
DOS at the Fermi energy (states/eV per cell): 4.6

a b c (Å): 5.254 5.254 5.254
angles (deg): 60.00 60.00 60.00
Sites, in units of the cell vectors:
Nd 0.000 0.000 0.000
Gd 0.500 0.500 0.500
Sn 0.250 0.250 0.250

***

[12]
Entry from the Alexandria database: a geometry-optimized NdGdSn structure (PBE).

Results
Electronic total energy (eV/cell): -23.54
Space group: No. 156
ΔH_f (0 K) (eV/atom): -0.229
DOS at the Fermi energy (states/eV per cell): 4.0

a b c (Å): 5.382 5.382 3.341
angles (deg): 90.00 90.00 120.00
Sites, in units of the cell vectors:
Nd 0.000 0.000 0.000
Gd 0.333 0.667 0.005
Sn 0.667 0.333 0.503